A crystal of YRuCl2 relaxed with PBEsol. Source: Alexandria via LeMat-Bulk, functional meta-GGA SCAN.

```
YRuCl2
1.0
-1.316 2.785 0.521
-1.980 -0.494 -2.365
-6.040 -3.953 5.882
Y Cl Ru
1 2 1
direct
0.500 0.500 0.500
0.000 0.000 0.673
0.000 0.000 0.327
0.500 0.500 0.000
```

Summary:
Energy above the lowest structure with this stoichiometry = 0.62 eV per formula unit
Calculated density = 4.767 Mg/m³